No. 1
The following is a PBE calculation of Ho2SbBr2 after structural relaxation, from Alexandria via LeMat-Bulk.

Cell lengths 10.9436, 10.9436, 10.9436 Å; angles 22.20, 22.20, 22.20 degrees
With the nearest neighbours (Å) after each atom.
Atoms (fractional coordinates):
1 Ho 0.1126 0.1126 0.1126  3 Br 2.97, 3 Sb 2.99
2 Ho 0.8874 0.8874 0.8874  3 Br 2.97, 3 Sb 2.99
3 Sb 0.5000 0.5000 0.5000  6 Ho 2.99
4 Br 0.2742 0.2742 0.2742  3 Ho 2.97
5 Br 0.7258 0.7258 0.7258  3 Ho 2.97

Results
**Electronic total energy**: -23.82 eV/cell
**N(E_F)**: 1.8 states/eV/cell
**Size of the total moment**: 0.0 μB per cell
**ΔE_f (raw)**: -1440 meV per atom
**Space-group type**: R-3m

***

No. 2
The following is a PBE calculation of ScAlCd after structural relaxation, from Alexandria via LeMat-Bulk.

Cell lengths 4.6956, 3.1977, 8.0847 Å; angles 90.00, 90.00, 90.00 degrees
With the nearest neighbours (Å) after each atom.
Atoms (fractional coordinates):
1 Sc 0.2500 0.0000 0.2276  6 Al 2.95-3.09, 2 Sc 3.20, 4 Cd 3.21
2 Sc 0.7500 0.0000 0.7724  6 Al 2.95-3.09, 2 Sc 3.20, 4 Cd 3.21
3 Al 0.2500 0.5000 0.9215  2 Al 2.67, 1 Cd 2.69, 2 Sc 2.95
4 Al 0.7500 0.5000 0.0785  2 Al 2.67, 1 Cd 2.69, 2 Sc 2.95
5 Cd 0.2500 0.5000 0.5887  1 Al 2.69, 2 Cd 2.75
6 Cd 0.7500 0.5000 0.4113  1 Al 2.69, 2 Cd 2.75

Results
**Electronic total energy**: -24.08 eV/cell
**N(E_F)**: 4.0 states/eV/cell
**Size of the total moment**: 0.0 μB per cell
**Space-group type**: Pmma
**E_form**: -0.35 eV/atom

***

No. 3
The following is a PBE calculation of Ac8Ni2Ir after structural relaxation, from Alexandria via LeMat-Bulk.

Cell lengths 10.2401, 10.2401, 9.7187 Å; angles 93.63, 93.63, 23.31 degrees
With the nearest neighbours (Å) after each atom.
Atoms (fractional coordinates):
1 Ac 0.0157 0.0157 0.2096  2 Ir 2.91
2 Ac 0.2253 0.2253 0.3264  2 Ni 3.08
3 Ac 0.3492 0.3492 0.0403  2 Ni 3.07, 1 Ir 3.07
4 Ac 0.4005 0.4005 0.4523  2 Ni 2.99
5 Ac 0.5995 0.5995 0.5477  2 Ni 2.99
6 Ac 0.6508 0.6508 0.9597  2 Ni 3.07, 1 Ir 3.07
7 Ac 0.7747 0.7747 0.6736  2 Ni 3.08
8 Ac 0.9843 0.9843 0.7904  2 Ir 2.91
9 Ni 0.1663 0.1663 0.7308  6 Ac 2.99-3.08
10 Ni 0.8337 0.8337 0.2692  6 Ac 2.99-3.08
11 Ir 0.5000 0.5000 0.0000  6 Ac 2.91-3.07

Results
**Electronic total energy**: -55.91 eV/cell
**N(E_F)**: 11.8 states/eV/cell
**Offset from the most stable computed form**: 0.0000 eV per atom
**Size of the total moment**: 0.0 μB per cell
**Space-group type**: C2/m
**E_form**: -0.24 eV/atom

***

No. 4
The following is a PBE calculation of LaCuAs2 after structural relaxation, from Alexandria via LeMat-Bulk.

Cell lengths 4.9457, 4.9457, 4.9457 Å; angles 60.00, 60.00, 60.00 degrees
With the nearest neighbours (Å) after each atom.
Atoms (fractional coordinates):
1 La 0.0000 0.0000 0.0000  4 As 3.03, 4 Cu 3.03
2 Cu 0.7500 0.7500 0.7500  4 As 3.03, 4 La 3.03
3 As 0.2500 0.2500 0.2500  4 La 3.03, 4 As 3.03
4 As 0.5000 0.5000 0.5000  4 As 3.03, 4 Cu 3.03

Results
**Electronic total energy**: -19.38 eV/cell
**N(E_F)**: 3.9 states/eV/cell
**Size of the total moment**: 0.0 μB per cell
**Space-group type**: F-43m
**E_form**: -0.26 eV/atom

***

No. 5
The following is a PBE calculation of In2IrOs after structural relaxation, from Alexandria via LeMat-Bulk.

Cell lengths 5.9663, 5.9663, 5.9663 Å; angles 102.09, 102.09, 125.53 degrees
With the nearest neighbours (Å) after each atom.
Atoms (fractional coordinates):
1 In 0.1208 0.1250 0.4958  2 Ir 2.72, 2 In 2.73, 2 Os 2.76
2 In 0.3750 0.8792 0.0042  2 Ir 2.72, 2 In 2.73, 2 Os 2.76
3 In 0.6292 0.6250 0.5042  2 Ir 2.72, 2 In 2.73, 2 Os 2.76
4 In 0.8750 0.3708 0.9958  2 Ir 2.72, 2 In 2.73, 2 Os 2.76
5 Ir 0.0000 0.0000 0.0000  4 In 2.72, 2 Os 2.73
6 Ir 0.7500 0.2500 0.5000  4 In 2.72, 2 Os 2.73
7 Os 0.2500 0.7500 0.5000  2 Ir 2.73, 4 In 2.76
8 Os 0.5000 0.5000 0.0000  2 Ir 2.73, 4 In 2.76

Results
**Electronic total energy**: -44.48 eV/cell
**N(E_F)**: 9.0 states/eV/cell
**Size of the total moment**: 0.0 μB per cell
**Space-group type**: I-42d
**E_form**: 0.83 eV/atom

***

No. 6
The following is a PBE calculation of KMg4Cd after structural relaxation, from Alexandria via LeMat-Bulk.

Cell lengths 6.1751, 6.1751, 6.1751 Å; angles 60.00, 60.00, 60.00 degrees
With the nearest neighbours (Å) after each atom.
Atoms (fractional coordinates):
1 K 0.0000 0.0000 0.0000  12 Mg 3.62, 4 Cd 3.78
2 Mg 0.1278 0.6241 0.6241  6 Mg 3.06-3.11
3 Mg 0.6241 0.1278 0.6241  6 Mg 3.06-3.11
4 Mg 0.6241 0.6241 0.1278  6 Mg 3.06-3.11
5 Mg 0.6241 0.6241 0.6241  6 Mg 3.06-3.11
6 Cd 0.2500 0.2500 0.2500  12 Mg 3.62, 4 K 3.78

Results
**Electronic total energy**: -7.58 eV/cell
**N(E_F)**: 4.7 states/eV/cell
**Size of the total moment**: 0.0 μB per cell
**Space-group type**: F-43m
**E_form**: 0.13 eV/atom